Record 1
# HoTmCd6, relaxed, DFT PBE
# ΔH_f (0 K)   -254 meV/atom
data_HoTmCd6
_cell_length_a 5.033
_cell_length_b 5.033
_cell_length_c 7.127
_cell_angle_alpha 90.00
_cell_angle_beta 90.00
_cell_angle_gamma 90.00
_symmetry_space_group_name_H-M 'P 4/m m m'
_symmetry_Int_Tables_number 123
_symmetry_space_group_name_Hall '-P 4 2'
loop_
_atom_site_label
_atom_site_type_symbol
_atom_site_fract_x
_atom_site_fract_y
_atom_site_fract_z
Ho1 Ho 0.000 0.000 0.000
Tm1 Tm 0.500 0.500 0.500
Cd1 Cd 0.000 0.000 0.500
Cd2 Cd 0.000 0.500 0.251
Cd3 Cd 0.500 0.500 0.000

---

Record 2
# HoTmCd6, relaxed, DFT PBE
# ΔH_f (0 K)   -272 meV/atom
data_HoTmCd6
_cell_length_a 4.819
_cell_length_b 7.172
_cell_length_c 10.626
_cell_angle_alpha 90.00
_cell_angle_beta 90.00
_cell_angle_gamma 90.00
_symmetry_space_group_name_H-M 'A m m 2'
_symmetry_Int_Tables_number 38
loop_
_symmetry_equiv_pos_as_xyz
'x,y,z'
'-x,-y,z'
'-x,y,z'
'x,-y,z'
'x,y+1/2,z+1/2'
'-x,-y+1/2,z+1/2'
'-x,y+1/2,z+1/2'
'x,-y+1/2,z+1/2'
loop_
_atom_site_label
_atom_site_type_symbol
_atom_site_fract_x
_atom_site_fract_y
_atom_site_fract_z
Ho1 Ho 0.000 0.000 0.000
Tm1 Tm 0.500 0.000 0.738
Cd1 Cd 0.000 0.000 0.546
Cd2 Cd 0.000 0.216 0.273
Cd3 Cd 0.500 0.000 0.192
Cd4 Cd 0.500 0.215 0.464

---

Record 3
# HoTmCd4, relaxed, DFT PBE
# ΔH_f (0 K)   -308 meV/atom
data_HoTmCd4
_cell_length_a 3.376
_cell_length_b 4.929
_cell_length_c 8.553
_cell_angle_alpha 90.00
_cell_angle_beta 90.01
_cell_angle_gamma 90.00
_symmetry_space_group_name_H-M 'P 1 2/m 1'
_symmetry_Int_Tables_number 10
loop_
_symmetry_equiv_pos_as_xyz
'x,y,z'
'-x,-y,-z'
'-x,y,-z'
'x,-y,z'
loop_
_atom_site_label
_atom_site_type_symbol
_atom_site_fract_x
_atom_site_fract_y
_atom_site_fract_z
Ho1 Ho 0.000 0.000 0.000
Tm1 Tm 0.000 0.500 0.500
Cd1 Cd 0.495 0.000 0.666
Cd2 Cd 0.495 0.500 0.167

---

Record 4
# HoTmCd6, relaxed, DFT PBE
# ΔH_f (0 K)   -271 meV/atom
data_HoTmCd6
_cell_length_a 6.5483
_cell_length_b 6.5483
_cell_length_c 4.9595
_cell_angle_alpha 90.00
_cell_angle_beta 90.00
_cell_angle_gamma 120.00
_symmetry_space_group_name_H-M 'P -6 m 2'
_symmetry_Int_Tables_number 187
_symmetry_space_group_name_Hall 'P -6 2'
loop_
_atom_site_label
_atom_site_type_symbol
_atom_site_fract_x
_atom_site_fract_y
_atom_site_fract_z
Ho1 Ho 0.0000 0.0000 0.0000
Tm1 Tm 0.3333 0.6667 0.5000
Cd1 Cd 0.3413 0.1707 0.5000
Cd2 Cd 0.5030 0.0060 0.0000

---

Record 5
# YHoTm2Cd2, relaxed, DFT PBE
# ΔH_f (0 K)   -232 meV/atom
data_YHoTm2Cd2
_cell_length_a 5.338
_cell_length_b 3.624
_cell_length_c 16.841
_cell_angle_alpha 90.00
_cell_angle_beta 90.00
_cell_angle_gamma 90.00
_symmetry_space_group_name_H-M 'A m m 2'
_symmetry_Int_Tables_number 38
loop_
_symmetry_equiv_pos_as_xyz
'x,y,z'
'-x,-y,z'
'-x,y,z'
'x,-y,z'
'x,y+1/2,z+1/2'
'-x,-y+1/2,z+1/2'
'-x,y+1/2,z+1/2'
'x,-y+1/2,z+1/2'
loop_
_atom_site_label
_atom_site_type_symbol
_atom_site_fract_x
_atom_site_fract_y
_atom_site_fract_z
Y1 Y 0.000 0.000 0.000
Ho1 Ho 0.500 0.000 0.178
Tm1 Tm 0.000 0.000 0.314
Tm2 Tm 0.500 0.000 0.863
Cd1 Cd 0.000 0.000 0.659
Cd2 Cd 0.500 0.000 0.520

---

Record 6
# HoUCd, relaxed, DFT PBE
# ΔH_f (0 K)   1030 meV/atom
data_HoUCd
_cell_length_a 7.023
_cell_length_b 7.023
_cell_length_c 7.023
_cell_angle_alpha 90.00
_cell_angle_beta 90.00
_cell_angle_gamma 90.00
_symmetry_space_group_name_H-M 'F -4 3 m'
_symmetry_Int_Tables_number 216
_symmetry_space_group_name_Hall 'F -4 2 3'
loop_
_atom_site_label
_atom_site_type_symbol
_atom_site_fract_x
_atom_site_fract_y
_atom_site_fract_z
Ho1 Ho 0.000 0.000 0.000
U1 U 0.250 0.250 0.250
Cd1 Cd 0.250 0.250 0.750

---

Record 7
# YHoCd6, relaxed, DFT PBE
# ΔH_f (0 K)   -293 meV/atom
data_YHoCd6
_cell_length_a 4.839
_cell_length_b 7.140
_cell_length_c 10.703
_cell_angle_alpha 90.00
_cell_angle_beta 90.00
_cell_angle_gamma 90.00
_symmetry_space_group_name_H-M 'A m m 2'
_symmetry_Int_Tables_number 38
loop_
_symmetry_equiv_pos_as_xyz
'x,y,z'
'-x,-y,z'
'-x,y,z'
'x,-y,z'
'x,y+1/2,z+1/2'
'-x,-y+1/2,z+1/2'
'-x,y+1/2,z+1/2'
'x,-y+1/2,z+1/2'
loop_
_atom_site_label
_atom_site_type_symbol
_atom_site_fract_x
_atom_site_fract_y
_atom_site_fract_z
Y1 Y 0.000 0.000 0.000
Ho1 Ho 0.500 0.000 0.267
Cd1 Cd 0.000 0.000 0.457
Cd2 Cd 0.000 0.215 0.729
Cd3 Cd 0.500 0.000 0.809
Cd4 Cd 0.500 0.214 0.538

---

Record 8
# YHoCd6, relaxed, DFT PBE
# ΔH_f (0 K)   -279 meV/atom
data_YHoCd6
_cell_length_a 5.053
_cell_length_b 5.053
_cell_length_c 7.146
_cell_angle_alpha 90.00
_cell_angle_beta 90.00
_cell_angle_gamma 90.00
_symmetry_space_group_name_H-M 'P 4/m m m'
_symmetry_Int_Tables_number 123
_symmetry_space_group_name_Hall '-P 4 2'
loop_
_atom_site_label
_atom_site_type_symbol
_atom_site_fract_x
_atom_site_fract_y
_atom_site_fract_z
Y1 Y 0.000 0.000 0.000
Ho1 Ho 0.500 0.500 0.500
Cd1 Cd 0.000 0.000 0.500
Cd2 Cd 0.000 0.500 0.251
Cd3 Cd 0.500 0.500 0.000

---

Record 9
# YHoCd6, relaxed, DFT PBE
# ΔH_f (0 K)   -279 meV/atom
data_YHoCd6
_cell_length_a 5.059
_cell_length_b 7.125
_cell_length_c 5.060
_cell_angle_alpha 90.00
_cell_angle_beta 90.00
_cell_angle_gamma 90.00
_symmetry_space_group_name_H-M 'P m m 2'
_symmetry_Int_Tables_number 25
loop_
_symmetry_equiv_pos_as_xyz
'x,y,z'
'-x,-y,z'
'-x,y,z'
'x,-y,z'
loop_
_atom_site_label
_atom_site_type_symbol
_atom_site_fract_x
_atom_site_fract_y
_atom_site_fract_z
Y1 Y 0.000 0.000 0.000
Ho1 Ho 0.500 0.500 0.509
Cd1 Cd 0.000 0.251 0.499
Cd2 Cd 0.000 0.500 0.000
Cd3 Cd 0.500 0.000 0.508
Cd4 Cd 0.500 0.251 0.009

---

Record 10
# HoZnCd, relaxed, DFT PBE
# ΔH_f (0 K)   207 meV/atom
data_HoZnCd
_cell_length_a 6.818
_cell_length_b 6.818
_cell_length_c 6.818
_cell_angle_alpha 90.00
_cell_angle_beta 90.00
_cell_angle_gamma 90.00
_symmetry_space_group_name_H-M 'F -4 3 m'
_symmetry_Int_Tables_number 216
_symmetry_space_group_name_Hall 'F -4 2 3'
loop_
_atom_site_label
_atom_site_type_symbol
_atom_site_fract_x
_atom_site_fract_y
_atom_site_fract_z
Ho1 Ho 0.000 0.000 0.000
Zn1 Zn 0.250 0.250 0.250
Cd1 Cd 0.250 0.250 0.750

---

Record 11
# HoZnCd, relaxed, DFT PBE
# ΔH_f (0 K)   -168 meV/atom
data_HoZnCd
_cell_length_a 6.563
_cell_length_b 6.563
_cell_length_c 6.563
_cell_angle_alpha 90.00
_cell_angle_beta 90.00
_cell_angle_gamma 90.00
_symmetry_space_group_name_H-M 'F -4 3 m'
_symmetry_Int_Tables_number 216
_symmetry_space_group_name_Hall 'F -4 2 3'
loop_
_atom_site_label
_atom_site_type_symbol
_atom_site_fract_x
_atom_site_fract_y
_atom_site_fract_z
Ho1 Ho 0.000 0.000 0.000
Zn1 Zn 0.250 0.250 0.750
Cd1 Cd 0.000 0.000 0.500

---

Record 12
# HoZrCd, relaxed, DFT PBE
# ΔH_f (0 K)   837 meV/atom
data_HoZrCd
_cell_length_a 7.018
_cell_length_b 7.018
_cell_length_c 7.018
_cell_angle_alpha 90.00
_cell_angle_beta 90.00
_cell_angle_gamma 90.00
_symmetry_space_group_name_H-M 'F -4 3 m'
_symmetry_Int_Tables_number 216
_symmetry_space_group_name_Hall 'F -4 2 3'
loop_
_atom_site_label
_atom_site_type_symbol
_atom_site_fract_x
_atom_site_fract_y
_atom_site_fract_z
Ho1 Ho 0.000 0.000 0.000
Zr1 Zr 0.250 0.250 0.250
Cd1 Cd 0.250 0.250 0.750